4
Lattice="4.872 0.000 0.000 0.000 4.872 0.000 0.000 0.000 6.883" Properties=species:S:1:pos:R:3 comment="PBE Ba2CoTe, optimized geometry" e_form_raw_ev_per_atom=-0.34 magnetic_moment_mub_per_fu=1.02 space_group="P4mm (99)" mass_density_g_cm3=4.7 e_tot_ev_per_atom=-3.859 pbc="T T T"
Ba 0.000 0.000 0.000
Ba 2.436 2.436 3.423
Co 0.000 0.000 3.423
Te 2.436 2.436 6.863